Entry 1:
## KBaFeBi2 (PBE-GGA)

Data for KBaFeBi2 after structural relaxation.

Calculated values
total moment = 2.70 μB/f.u.
DOS at the Fermi energy = 0.681 states/eV/atom
DFT formation energy = 15 meV/atom
V = 33.5 Å³/atom
total DFT energy (no corrections) = -19.2 eV/cell

CIF file:
```
data_KBaFeBi2
_cell_length_a 5.474
_cell_length_b 5.474
_cell_length_c 5.593
_cell_angle_alpha 90.00
_cell_angle_beta 90.00
_cell_angle_gamma 90.00
_space_group_name_H-M_alt 'P 1'
_space_group_IT_number 1
_space_group_name_Hall 'P 1'
loop_
_atom_site_label
_atom_site_fract_x
_atom_site_fract_y
_atom_site_fract_z
K1 0.000 0.000 0.000
Ba1 0.500 0.500 0.000
Fe1 0.000 0.000 0.500
Bi1 0.000 0.500 0.500
Bi2 0.500 0.000 0.500
```

***

Entry 2:
## BaFe2BiN (PBE-GGA)

Data for BaFe2BiN after structural relaxation.

Calculated values
total moment = 6.39 μB/f.u.
DOS at the Fermi energy = 2.004 states/eV/atom
energy relative to the elements, uncorrected = 2.033 eV/atom
V = 22.5 Å³/atom
total DFT energy (no corrections) = -20.9 eV/cell

CIF file:
```
data_BaFe2BiN
_cell_length_a 5.033
_cell_length_b 5.033
_cell_length_c 4.443
_cell_angle_alpha 90.00
_cell_angle_beta 90.00
_cell_angle_gamma 90.00
_space_group_name_H-M_alt 'P 1'
_space_group_IT_number 1
_space_group_name_Hall 'P 1'
loop_
_atom_site_label
_atom_site_fract_x
_atom_site_fract_y
_atom_site_fract_z
Ba1 0.000 0.000 0.000
Fe1 0.000 0.500 0.000
Fe2 0.500 0.000 0.000
Bi1 0.500 0.500 0.500
N1 0.000 0.000 0.500
```